Density functional theory data (GGA+U) for MoIr2PbF after structural relaxation.

Properties
Mass density = 11.9 Mg/m³
Magnetization = 0.9 μB per cell
Total DFT energy (no corrections) = -27.907 eV per cell
V = 19.71 Å³/atom

Unit cell a=4.9071 b=4.9071 c=4.0917 alpha=90.00 beta=90.00 gamma=90.00
With the nearest neighbours (Å) after each atom.
Fractional coordinates of all 5 atoms:
Mo: 0.0000 0.0000 0.0000  2 F 2.05
Ir: 0.0000 0.5000 0.0000  2 Mo 2.45
Ir: 0.5000 0.0000 0.0000  2 Mo 2.45
Pb: 0.5000 0.5000 0.5000  8 Ir 3.19, 4 F 3.47
F: 0.0000 0.0000 0.5000  2 Mo 2.05

---

Density functional theory data (GGA+U) for Ba3HfMn2O8 after structural relaxation.

Properties
Mass density = 5.9 Mg/m³
Magnetization = 8.0 μB per cell
Total DFT energy (no corrections) = -103.937 eV per cell
V = 16.67 Å³/atom

Unit cell a=5.9856 b=5.9856 c=7.5198 alpha=90.00 beta=90.00 gamma=120.00
With the nearest neighbours (Å) after each atom.
Fractional coordinates of all 14 atoms:
Ba: 0.0000 0.0000 0.0000  6 O 3.01
Ba: 0.3333 0.6667 0.6590  1 O 2.45
Ba: 0.6667 0.3333 0.3410  1 O 2.45
Hf: 0.0000 0.0000 0.5000  6 O 2.09
Mn: 0.3333 0.6667 0.2221  4 O 1.78-1.97
Mn: 0.6667 0.3333 0.7779  4 O 1.78-1.97
O: 0.1612 0.3224 0.3327  1 Mn 1.97, 1 Hf 2.09
O: 0.1612 0.8388 0.3327  1 Mn 1.97, 1 Hf 2.09
O: 0.3224 0.1612 0.6673  1 Mn 1.97, 1 Hf 2.09
O: 0.3333 0.6667 0.9852  1 Mn 1.78
O: 0.6667 0.3333 0.0148  1 Mn 1.78
O: 0.6776 0.8388 0.3327  1 Mn 1.97, 1 Hf 2.09
O: 0.8388 0.1612 0.6673  1 Mn 1.97, 1 Hf 2.09
O: 0.8388 0.6776 0.6673  1 Mn 1.97, 1 Hf 2.09